1.
LaRe2Se: optimized geometry, GGA-PBE.

abc: 3.0593 4.7689 10.4955
angles: 90.00 90.00 90.00
Closest atoms and distances in Å follow each position.
Space group Immm (No. 71)
Symmetry-distinct sites (fractional):
La: 0.0000 0.0000 0.0000 x2  4 Se 2.83, 2 La 3.06
Re: 0.0000 0.5000 0.2226 x4  2 Se 2.79, 6 Re 2.89-3.06
Se: 0.0000 0.0000 0.5000 x2  4 Re 2.79, 4 La 2.83, 2 Se 3.06

Properties
Density of states at the Fermi level, states/eV/cell: 9.55
Formation energy from raw total energies, meV per atom: 366.9

2.
Al3GaPd4: optimized geometry, GGA-PBE.

abc: 4.3485 4.3485 21.4463
angles: 90.00 90.00 120.00
Closest atoms and distances in Å follow each position.
Space group R-3m (No. 166, hexagonal axes)
Symmetry-distinct sites (fractional):
Al: 0.0000 0.0000 0.0000 x3  8 Pd 2.65-2.66
Al: 0.0000 0.0000 0.2504 x6  8 Pd 2.65-2.72
Ga: 0.0000 0.0000 0.5000 x3  8 Pd 2.67-2.70
Pd: 0.0000 0.0000 0.1237 x6  5 Al 2.65-2.72, 3 Ga 2.67
Pd: 0.0000 0.0000 0.3739 x6  7 Al 2.65-2.67, 1 Ga 2.70

Properties
Formation energy, eV per formula unit: -6.30
Density of states at the Fermi level, states/eV/cell: 11.80

3.
HIrS2: optimized geometry, GGA-PBE.

abc: 5.0594 5.0594 9.2366
angles: 90.00 90.00 90.00
Closest atoms and distances in Å follow each position.
Space group I-42d (No. 122)
Symmetry-distinct sites (fractional):
H: 0.0000 0.0000 0.0000 x4  4 S 2.01
Ir: 0.0000 0.0000 0.5000 x4  4 S 2.26
S: 0.2097 0.2500 0.1250 x8  2 H 2.01, 2 Ir 2.26

Properties
Density of states at the Fermi level, states/eV/cell: 6.27
Energy above the lowest structure with this stoichiometry, meV per atom: 534

4.
BeNiOs2: optimized geometry, GGA-PBE.

abc: 2.8497 4.0871 8.0728
angles: 90.00 90.00 90.00
Closest atoms and distances in Å follow each position.
Space group Imm2 (No. 44)
Symmetry-distinct sites (fractional):
Be: 0.0000 0.0000 0.0000 x2  2 Ni 2.21, 2 Os 2.41
Ni: 0.0000 0.5000 0.7087 x2  2 Be 2.21
Os: 0.0000 0.0000 0.4850 x2  4 Be 2.49, 4 Os 2.63-2.74, 4 Ni 2.65-2.73
Os: 0.0000 0.5000 0.2588 x2  2 Be 2.41, 4 Ni 2.52, 2 Os 2.63

Properties
Formation energy, eV per formula unit: -0.27
Density of states at the Fermi level, states/eV/cell: 4.58

5.
CaAg5Cl12: optimized geometry, GGA-PBE.

abc: 6.5668 12.1899 12.4950
angles: 90.00 101.57 90.00
Closest atoms and distances in Å follow each position.
Space group C2/m (No. 12)
Symmetry-distinct sites (fractional):
Ca: 0.0000 0.0000 0.0000 x2  6 Cl 2.71-2.78
Ag: 0.0000 0.1668 0.5000 x4  2 Cl 2.44
Ag: 0.0000 0.3407 0.0000 x4  4 Cl 2.45-2.71
Ag: 0.0000 0.5000 0.5000 x2  2 Cl 2.44
Cl: 0.1515 0.0000 0.3857 x4  1 Ag 2.44
Cl: 0.1517 0.3330 0.3864 x8  1 Ag 2.44
Cl: 0.2111 0.5000 0.1269 x4  1 Ca 2.71, 2 Ag 2.71
Cl: 0.2373 0.1673 0.1144 x8  1 Ag 2.45

Properties
Density of states at the Fermi level, states/eV/cell: 32.07
Formation energy from raw total energies, meV per atom: -617.8

6.
CdBiO2F: optimized geometry, GGA-PBE.

abc: 4.3108 4.3108 4.2296
angles: 90.00 90.00 90.00
Closest atoms and distances in Å follow each position.
Space group P4/mmm (No. 123)
Symmetry-distinct sites (fractional):
Cd: 0.0000 0.0000 0.0000 x1  2 F 2.11, 4 O 2.16
Bi: 0.5000 0.5000 0.5000 x1  8 O 3.02, 4 F 3.05
O: 0.0000 0.5000 0.0000 x2  2 Cd 2.16
F: 0.0000 0.0000 0.5000 x1  2 Cd 2.11

Properties
Density of states at the Fermi level, states/eV/cell: 2.18
Formation energy from raw total energies, meV per atom: -754.2

7.
PrPaIrO6: optimized geometry, GGA-PBE.

abc: 5.4510 5.4510 10.5623
angles: 90.00 90.00 120.00
Closest atoms and distances in Å follow each position.
Space group P-31c (No. 163)
Symmetry-distinct sites (fractional):
Pr: 0.0000 0.0000 0.0000 x2  6 O 2.42
Pa: 0.3333 0.6667 0.2500 x2  6 O 2.20
Ir: 0.3333 0.6667 0.7500 x2  6 O 2.04
O: 0.0229 0.3633 0.6398 x12  1 Ir 2.04, 1 Pa 2.20

Properties
Density of states at the Fermi level, states/eV/cell: 14.64
Formation energy from raw total energies, meV per atom: -2521.9

8.
ReW: optimized geometry, GGA-PBE.

abc: 9.9113 3.1573 6.3255
angles: 90.00 108.75 90.00
Closest atoms and distances in Å follow each position.
Space group Cm (No. 8)
Symmetry-distinct sites (fractional):
Re: 0.0000 0.0000 0.0000 x2  6 W 2.72-2.73, 2 Re 2.78
Re: 0.0035 0.0000 0.4923 x2  6 W 2.71-2.73, 2 Re 2.76
Re: 0.1730 0.5000 0.8318 x2  4 W 2.70-2.73, 4 Re 2.76-2.78
W: 0.1709 0.5000 0.3318 x2  4 W 2.71-2.73, 4 Re 2.71-2.73
W: 0.3332 0.0000 0.1633 x2  6 Re 2.70-2.72, 2 W 2.71
W: 0.3390 0.0000 0.6636 x2  6 Re 2.72-2.73, 2 W 2.73

Properties
Formation energy, eV per formula unit: 0.23
Density of states at the Fermi level, states/eV/cell: 7.75
Energy above the lowest structure with this stoichiometry, meV per atom: 22

9.
Ba2MnPbSe5: optimized geometry, GGA-PBE.

abc: 4.3906 19.2110 13.5079
angles: 90.00 90.00 90.00
Closest atoms and distances in Å follow each position.
Space group Cmc2_1 (No. 36)
Symmetry-distinct sites (fractional):
Ba: 0.0000 0.1184 0.0000 x4  7 Se 3.26-3.45
Ba: 0.0000 0.1279 0.6493 x4  7 Se 3.28-3.55
Mn: 0.0000 0.4518 0.7168 x4  4 Se 2.30-2.41
Pb: 0.0000 0.2043 0.3571 x4  3 Se 2.85-2.97
Se: 0.0000 0.0298 0.2864 x4  2 Mn 2.41
Se: 0.0000 0.2897 0.0055 x4  2 Pb 2.97, 3 Ba 3.29-3.33
Se: 0.0000 0.3341 0.6855 x4  1 Mn 2.30
Se: 0.0000 0.3510 0.3268 x4  1 Pb 2.85
Se: 0.0000 0.4906 0.0654 x4  1 Mn 2.33

Properties
Density of states at the Fermi level, states/eV/cell: 10.66
Formation energy from raw total energies, meV per atom: -1114.2

10.
BeFeB: optimized geometry, GGA-PBE.

abc: 2.6987 12.7905 2.8031
angles: 90.00 90.20 90.00
Closest atoms and distances in Å follow each position.
Space group C2/c (No. 15)
Symmetry-distinct sites (fractional):
Be: 0.0000 0.0907 0.2500 x4  6 B 2.06-2.11
Fe: 0.0000 0.3042 0.2500 x4  1 B 2.04
B: 0.0000 0.4637 0.2500 x4  2 B 1.68

Properties
Formation energy, eV per formula unit: 0.11
Density of states at the Fermi level, states/eV/cell: 6.22

11.
NbPb3N: optimized geometry, GGA-PBE.

abc: 5.5273 5.5273 5.5273
angles: 90.00 90.00 90.00
Closest atoms and distances in Å follow each position.
Space group Pm-3m (No. 221)
Symmetry-distinct sites (fractional):
Nb: 0.0000 0.0000 0.0000 x1  6 Pb 2.76
Pb: 0.0000 0.0000 0.5000 x3  2 Nb 2.76
N: 0.5000 0.5000 0.5000 x1  12 Pb 3.91

Properties
Density of states at the Fermi level, states/eV/cell: 2.52
Formation energy from raw total energies, meV per atom: 1323.8
Energy above the lowest structure with this stoichiometry, meV per atom: 306

12.
Cr5GeS8: optimized geometry, GGA-PBE.

abc: 9.7654 9.7654 9.7654
angles: 90.00 90.00 90.00
Closest atoms and distances in Å follow each position.
Space group F-43m (No. 216)
Symmetry-distinct sites (fractional):
Cr: 0.0000 0.0000 0.0000 x4  4 S 2.17
Cr: 0.1469 0.1469 0.3531 x16  3 S 2.21
Ge: 0.2500 0.2500 0.7500 x4  4 S 2.39
S: 0.1086 0.1086 0.6086 x16  1 Ge 2.39, 3 Cr 2.55
S: 0.1283 0.1283 0.1283 x16  4 Cr 2.17-2.21

Properties
Density of states at the Fermi level, states/eV/cell: 12.67
Formation energy from raw total energies, meV per atom: -472.2